5
Lattice="-0.264 -5.030 -1.335 4.439 0.480 -2.686 2.716 -1.274 4.261" Properties=species:S:1:pos:R:3 comment="Tl3MoF, optimized geometry, DFT PBE+U" e_tot_ev_per_cell=-16.44 magmom_total_mub_per_fu=4.64 crystal_system=cubic space_group="No. 221" pbc="T T T"
F 0.000 0.000 0.000
Tl -0.132 -2.515 -0.668
Tl 2.220 0.240 -1.343
Tl 1.358 -0.637 2.130
Mo 3.446 -2.912 0.119